First-principles (GGA-PBE) data for an optimized crystal structure of BSCl3, as listed in Alexandria.

The raw formation energy comes out at -3.34 eV/f.u. The density comes out at 1.3 Mg/m³. As for the polymorph energy (0 for the lowest one): 0.00 eV/f.u. The crystal system is monoclinic.

The space group is C2/m (No. 12) and the conventional cell measures 15.715, 7.803 and 6.576 Å, with angles of 90.00, 101.22 and 90.00 degrees. The distinct sites, in fractional coordinates, are B at (0.189, 0.000, 0.024), S at (0.052, 0.500, 0.445), Cl at (0.098, 0.000, 0.824), Cl at (0.176, 0.000, 0.282) and Cl at (0.207, 0.500, 0.034).